(1)
Ca2ZrNi GGA-PBE relaxed; formation energy = 0.404 eV per atom; polymorph energy (0 for the lowest one) = 435 meV per atom
1.0
-4.640 1.473 1.769
0.296 -2.846 3.147
1.867 2.921 2.466
Ca Zr Ni
2 1 1
Direct
0.000 0.000 0.000
0.000 0.500 0.500
0.500 0.000 0.500
0.500 0.500 0.000


(2)
CaZr2Ni2 GGA-PBE relaxed; formation energy = -0.166 eV per atom; polymorph energy (0 for the lowest one) = 0 meV per atom
1.0
-3.955 -0.331 -2.177
-1.706 -2.368 3.460
-4.385 2.941 2.812
Zr Ni Ca
2 2 1
Direct
0.250 0.750 0.500
0.750 0.250 0.500
0.617 0.617 0.767
0.383 0.383 0.233
0.000 0.000 0.000


(3)
CaZr2Ni9 GGA-PBE relaxed; formation energy = -0.320 eV per atom
1.0
4.914 0.000 0.000
2.457 4.255 0.000
2.457 1.418 7.933
Ni Zr Ca
9 2 1
Direct
0.333 0.333 0.000
0.081 0.588 0.744
0.412 0.412 0.256
0.500 0.500 0.500
0.588 0.081 0.744
0.412 0.919 0.256
0.919 0.412 0.256
0.667 0.667 0.000
0.588 0.588 0.744
0.861 0.861 0.418
0.139 0.139 0.582
0.000 0.000 0.000


Please write out number 1 again, unchanged.
Ca2ZrNi GGA-PBE relaxed; formation energy = 0.404 eV per atom; polymorph energy (0 for the lowest one) = 435 meV per atom
1.0
-4.640 1.473 1.769
0.296 -2.846 3.147
1.867 2.921 2.466
Ca Zr Ni
2 1 1
Direct
0.000 0.000 0.000
0.000 0.500 0.500
0.500 0.000 0.500
0.500 0.500 0.000